No. 1
# Mg5Au3

A geometry-optimized Mg5Au3 structure (PBE, Alexandria via LeMat-Bulk).

Cell lengths 8.0208, 8.0208, 8.0377 Å; angles 96.53, 96.53, 140.71 degrees
With the nearest neighbours (Å) after each atom.
Element x y z (fractional)
Mg1 0.4199 0.2792 0.6992  6 Au 2.83-3.11, 1 Mg 3.01
Mg2 0.9189 0.2207 0.1405  6 Au 2.83-3.10, 1 Mg 2.99
Au1 0.6625 0.1625 0.8227  10 Mg 2.78-3.10
Au2 0.7499 0.7506 0.0003  2 Au 2.70, 8 Mg 2.85-2.86
Mg3 0.7509 0.2509 0.5014  2 Mg 2.69-2.70, 4 Au 2.78-2.79
Mg4 0.7207 0.4189 0.1405  6 Au 2.83-3.10, 1 Mg 2.99
Mg5 0.2799 0.5817 0.8603  6 Au 2.83-3.10, 1 Mg 2.99
Au3 0.8392 0.6620 0.5004  10 Mg 2.79-3.11
Au4 0.1620 0.3392 0.5004  10 Mg 2.79-3.11
Mg6 0.5808 0.7213 0.3016  6 Au 2.83-3.10, 1 Mg 3.01
Mg7 0.2505 0.7505 0.4996  2 Mg 2.69-2.70, 4 Au 2.78-2.79
Mg8 0.2213 0.0808 0.3016  6 Au 2.83-3.10, 1 Mg 3.01
Mg9 0.0817 0.7799 0.8603  6 Au 2.83-3.10, 1 Mg 2.99
Au5 0.2506 0.2499 0.0003  2 Au 2.70, 8 Mg 2.85-2.86
Au6 0.3387 0.8387 0.1783  10 Mg 2.78-3.10
Mg10 0.7792 0.9199 0.6992  6 Au 2.83-3.11, 1 Mg 3.01

- Formation energy: -0.5302 eV/atom
- Symmetry: C2/m (12)
- Fermi-level density of states: 2.0 states/eV/f.u.
- Electronic total energy: -0.1013 Ha/atom

***

No. 2
# Li2DyY2Sn2

A geometry-optimized Li2DyY2Sn2 structure (PBE, Alexandria via LeMat-Bulk).

Cell lengths 4.7709, 4.7709, 9.2983 Å; angles 75.13, 75.13, 60.00 degrees
With the nearest neighbours (Å) after each atom.
Element x y z (fractional)
Y1 0.8716 0.8716 0.3852  3 Sn 3.17, 3 Li 3.21, 1 Dy 3.42, 3 Y 3.43
Li1 0.5999 0.5999 0.2002  3 Sn 2.76
Sn1 0.7361 0.7361 0.7918  3 Li 2.76
Dy1 0.0000 0.0000 0.0000  6 Li 3.28, 6 Sn 3.32, 2 Y 3.42
Y2 0.1284 0.1284 0.6148  3 Sn 3.17, 3 Li 3.21, 1 Dy 3.42, 3 Y 3.43
Li2 0.4001 0.4001 0.7998  3 Sn 2.76
Sn2 0.2639 0.2639 0.2082  3 Li 2.76

- Formation energy: -0.4632 eV/atom
- Symmetry: R-3m (166)
- Fermi-level density of states: 4.4 states/eV/f.u.
- Electronic total energy: -0.1712 Ha/atom

***

No. 3
# La9ScTl2

A geometry-optimized La9ScTl2 structure (PBE, Alexandria via LeMat-Bulk).

Cell lengths 5.0731, 5.0731, 15.3976 Å; angles 90.00, 90.00, 90.00 degrees
With the nearest neighbours (Å) after each atom.
Element x y z (fractional)
La1 0.5000 0.5000 0.6669  4 Tl 3.59, 8 La 3.60-3.61
La2 0.5000 0.0000 0.8327  8 La 3.59-3.61, 2 Sc 3.61, 2 Tl 3.63
La3 0.5000 0.5000 0.3331  4 Tl 3.59, 8 La 3.60-3.61
Sc1 0.0000 0.0000 0.0000  12 La 3.59-3.61
La4 0.0000 0.5000 0.1673  8 La 3.59-3.61, 2 Sc 3.61, 2 Tl 3.63
La5 0.5000 0.0000 0.5000  4 Tl 3.58, 8 La 3.59-3.61
La6 0.0000 0.5000 0.8327  8 La 3.59-3.61, 2 Sc 3.61, 2 Tl 3.63
Tl1 0.0000 0.0000 0.6639  12 La 3.58-3.63
La7 0.5000 0.5000 0.0000  4 Sc 3.59, 8 La 3.61
La8 0.0000 0.5000 0.5000  4 Tl 3.58, 8 La 3.59-3.61
Tl2 0.0000 0.0000 0.3361  12 La 3.58-3.63
La9 0.5000 0.0000 0.1673  8 La 3.59-3.61, 2 Sc 3.61, 2 Tl 3.63

- Formation energy: -0.1397 eV/atom
- Symmetry: P4/mmm (123)
- Fermi-level density of states: 17.4 states/eV/f.u.
- Electronic total energy: -0.1748 Ha/atom

***

No. 4
# ZrIr2Ru

A geometry-optimized ZrIr2Ru structure (PBE, Alexandria via LeMat-Bulk).

Cell lengths 4.5214, 2.8717, 4.8948 Å; angles 90.00, 90.00, 90.00 degrees
With the nearest neighbours (Å) after each atom.
Element x y z (fractional)
Zr1 0.5000 0.6250 0.7985  8 Ir 2.80-2.87, 2 Zr 2.87, 2 Ru 2.89
Ir1 0.0000 0.1250 0.9625  4 Ru 2.71-2.97, 4 Zr 2.80, 4 Ir 2.82-2.87
Ir2 0.5000 0.1250 0.3072  4 Ru 2.75, 4 Zr 2.80-2.87, 4 Ir 2.82-2.87
Ru1 0.0000 0.6250 0.4318  8 Ir 2.71-2.97, 2 Ru 2.87, 2 Zr 2.89

- Formation energy: -0.3799 eV/atom
- Symmetry: Pmm2 (25)
- Fermi-level density of states: 3.3 states/eV/f.u.
- Electronic total energy: -0.3405 Ha/atom

***

No. 5
# Cr2NiC

A geometry-optimized Cr2NiC structure (PBE, Alexandria via LeMat-Bulk).

Cell lengths 2.7767, 2.7767, 6.3845 Å; angles 77.43, 77.43, 60.00 degrees
With the nearest neighbours (Å) after each atom.
Element x y z (fractional)
C1 0.6661 0.6661 0.0016  6 Cr 1.93-1.95
Ni1 0.4999 0.4999 0.5003  6 Cr 2.55-2.57, 6 Ni 2.78
Cr1 0.2746 0.2746 0.1761  3 C 1.93
Cr2 0.0594 0.0594 0.8220  3 C 1.95

- Formation energy: 0.0501 eV/atom
- Symmetry: R3m (160)
- Fermi-level density of states: 4.9 states/eV/f.u.
- Electronic total energy: -0.3128 Ha/atom

***

No. 6
# GePt3Br

A geometry-optimized GePt3Br structure (PBE, Alexandria via LeMat-Bulk).

Cell lengths 4.7337, 4.7337, 4.7337 Å; angles 90.00, 90.00, 90.00 degrees
With the nearest neighbours (Å) after each atom.
Element x y z (fractional)
Ge1 0.0000 0.0000 0.0000  6 Pt 2.37
Pt1 0.0000 0.0000 0.5000  2 Ge 2.37
Pt2 0.0000 0.5000 0.0000  2 Ge 2.37
Br1 0.5000 0.5000 0.5000  12 Pt 3.35
Pt3 0.5000 0.0000 0.0000  2 Ge 2.37

- Symmetry: Pm-3m (221)
- Fermi-level density of states: 1.8 states/eV/f.u.
- Uncorrected formation energy: 0.6484 eV per atom
- Electronic total energy: -0.1556 Ha/atom

***

No. 7
# Cs7Na4

A geometry-optimized Cs7Na4 structure (PBE, Alexandria via LeMat-Bulk).

Cell lengths 7.2949, 12.1712, 12.1712 Å; angles 120.00, 90.00, 90.00 degrees
With the nearest neighbours (Å) after each atom.
Element x y z (fractional)
Na1 0.5000 0.7679 0.5358  2 Na 3.70
Cs1 0.0000 0.9363 0.4682  5 Na 4.18-4.46
Na2 0.0000 0.3333 0.6667  3 Cs 4.18
Cs2 0.5000 0.1855 0.8145  4 Na 4.48-4.80
Na3 0.5000 0.7679 0.2321  2 Na 3.70
Cs3 0.0000 0.5318 0.4682  5 Na 4.18-4.46
Cs4 0.5000 0.6289 0.8145  4 Na 4.48-4.80
Cs5 0.0000 0.5318 0.0637  5 Na 4.18-4.46
Na4 0.5000 0.4642 0.2321  2 Na 3.70
Cs6 0.0000 0.0000 0.0000  6 Cs 5.35
Cs7 0.5000 0.1855 0.3711  4 Na 4.48-4.80

- Formation energy: 0.0295 eV/atom
- Symmetry: P-6m2 (187)
- Fermi-level density of states: 7.4 states/eV/f.u.
- Electronic total energy: -0.0365 Ha/atom

***

No. 8
# P2OsW

A geometry-optimized P2OsW structure (PBE, Alexandria via LeMat-Bulk).

Cell lengths 2.8694, 2.8694, 7.8572 Å; angles 90.00, 90.00, 90.00 degrees
With the nearest neighbours (Å) after each atom.
Element x y z (fractional)
W1 0.0000 0.0000 0.5087  4 P 2.60, 4 Os 2.81, 4 W 2.87
Os1 0.5000 0.5000 0.7561  4 P 2.46
P1 0.0000 0.0000 0.9331  4 Os 2.46
P2 0.5000 0.5000 0.3022  4 W 2.60, 4 P 2.87

- Formation energy: 0.0712 eV/atom
- Symmetry: P4mm (99)
- Fermi-level density of states: 2.7 states/eV/f.u.
- Electronic total energy: -0.3190 Ha/atom

***

No. 9
# Na2TlI

A geometry-optimized Na2TlI structure (PBE, Alexandria via LeMat-Bulk).

Cell lengths 4.0750, 4.0750, 10.7272 Å; angles 79.05, 79.05, 60.00 degrees
With the nearest neighbours (Å) after each atom.
Element x y z (fractional)
Na1 0.1001 0.1001 0.6997  1 Tl 3.14, 3 I 3.15
I1 0.5000 0.5000 0.5000  6 Na 3.15
Na2 0.8999 0.8999 0.3003  1 Tl 3.14, 3 I 3.15
Tl1 0.0000 0.0000 0.0000  2 Na 3.14

- Symmetry: R-3m (166)
- Fermi-level density of states: 1.4 states/eV/f.u.
- Uncorrected formation energy: -0.4125 eV per atom
- Electronic total energy: -0.0754 Ha/atom

***

No. 10
# Ba7AgSb2O2

A geometry-optimized Ba7AgSb2O2 structure (PBE, Alexandria via LeMat-Bulk).

Cell lengths 5.3742, 5.3742, 15.4413 Å; angles 79.99, 79.99, 89.98 degrees
With the nearest neighbours (Å) after each atom.
Element x y z (fractional)
Ba1 0.5000 0.5000 0.0000  2 O 2.83
O1 0.5945 0.5945 0.8110  5 Ba 2.69-2.83
Ba2 0.7029 0.7029 0.5939  1 O 3.25, 1 Sb 3.51
Ba3 0.2971 0.2971 0.4061  1 O 3.25, 1 Sb 3.51
Sb1 0.1796 0.1796 0.6404  9 Ba 3.51-3.86
Ba4 0.4019 0.9019 0.1961  2 O 2.69
Ba5 0.5981 0.0981 0.8039  2 O 2.69
Ba6 0.9019 0.4019 0.1961  2 O 2.69
O2 0.4055 0.4055 0.1890  5 Ba 2.69-2.83
Ba7 0.0981 0.5981 0.8039  2 O 2.69
Ag1 0.0000 0.0000 0.0000  12 Ba 3.80-3.98
Sb2 0.8204 0.8204 0.3596  9 Ba 3.51-3.86

- Symmetry: I4/mmm (139)
- Fermi-level density of states: 6.4 states/eV/f.u.
- Uncorrected formation energy: -1.2773 eV per atom
- Electronic total energy: -0.1525 Ha/atom

***

No. 11
# La2Se

A geometry-optimized La2Se structure (PBE, Alexandria via LeMat-Bulk).

Cell lengths 4.1473, 4.1478, 6.8794 Å; angles 90.00, 90.00, 120.00 degrees
With the nearest neighbours (Å) after each atom.
Element x y z (fractional)
Se1 0.0000 0.0000 0.0000  6 La 3.03
La1 0.6667 0.3334 0.2707  3 Se 3.03
La2 0.3333 0.6666 0.7293  3 Se 3.03

- Symmetry: P-3m1 (164)
- Fermi-level density of states: 2.9 states/eV/f.u.
- Uncorrected formation energy: -1.1604 eV per atom
- Electronic total energy: -0.2060 Ha/atom

***

No. 12
# Cs2KTeF6

A geometry-optimized Cs2KTeF6 structure (PBE, Alexandria via LeMat-Bulk).

Cell lengths 6.7218, 6.7218, 12.9705 Å; angles 74.98, 74.98, 60.00 degrees
With the nearest neighbours (Å) after each atom.
Element x y z (fractional)
F1 0.8215 0.2576 0.0995  1 Te 2.09
F2 0.3936 0.3936 0.3630  1 Te 2.45, 1 K 2.59
K1 0.5964 0.5964 0.2107  6 F 2.59
F3 0.3936 0.8498 0.3630  1 Te 2.45, 1 K 2.59
F4 0.6064 0.6064 0.6370  1 Te 2.45, 1 K 2.59
Cs1 0.8588 0.8588 0.4237  9 F 3.38-3.45
F5 0.7424 0.1785 0.9005  1 Te 2.09
F6 0.8215 0.8215 0.0995  1 Te 2.09
Te1 0.0000 0.0000 0.0000  6 F 2.09
F7 0.6064 0.1502 0.6370  1 Te 2.45, 1 K 2.59
F8 0.2576 0.8215 0.0995  1 Te 2.09
Cs2 0.7334 0.7334 0.7998  3 F 2.92
F9 0.1502 0.6064 0.6370  1 Te 2.45, 1 K 2.59
Te2 0.5000 0.5000 0.5000  6 F 2.45
Cs3 0.1412 0.1412 0.5763  9 F 3.38-3.45
Cs4 0.2666 0.2666 0.2002  3 F 2.92
F10 0.8498 0.3936 0.3630  1 Te 2.45, 1 K 2.59
F11 0.1785 0.7424 0.9005  1 Te 2.09
F12 0.1785 0.1785 0.9005  1 Te 2.09
K2 0.4036 0.4036 0.7893  6 F 2.59

- Symmetry: R-3m (166)
- Uncorrected formation energy: -2.3558 eV per atom
- Electronic total energy: -0.1497 Ha/atom